# Ga2BTe, relaxed, DFT PBE
data_Ga2BTe
_cell_length_a 5.639
_cell_length_b 5.639
_cell_length_c 10.700
_cell_angle_alpha 90.00
_cell_angle_beta 90.00
_cell_angle_gamma 90.00
_symmetry_space_group_name_H-M 'I -4 2 d'
_symmetry_Int_Tables_number 122
_symmetry_space_group_name_Hall 'I -4 2bw'
loop_
_atom_site_label
_atom_site_type_symbol
_atom_site_fract_x
_atom_site_fract_y
_atom_site_fract_z
Ga1 Ga 0.146 0.250 0.125
B1 B 0.000 0.000 0.000
Te1 Te 0.000 0.000 0.500
# - spin magnetization (μB per formula unit) = 0.00
# - formation energy without anion corrections (eV/f.u.) = 0.60

# Pu2BiSb, relaxed, DFT PBE
data_Pu2BiSb
_cell_length_a 4.4213
_cell_length_b 4.4213
_cell_length_c 22.9142
_cell_angle_alpha 90.00
_cell_angle_beta 90.00
_cell_angle_gamma 120.00
_symmetry_space_group_name_H-M 'R 3 m'
_symmetry_Int_Tables_number 160
_symmetry_space_group_name_Hall 'R 3 -2"'
loop_
_atom_site_label
_atom_site_type_symbol
_atom_site_fract_x
_atom_site_fract_y
_atom_site_fract_z
Pu1 Pu 0.0000 0.0000 0.0000
Pu2 Pu 0.0000 0.0000 0.1745
Bi1 Bi 0.0000 0.0000 0.4186
Sb1 Sb 0.0000 0.0000 0.5894
# - spin magnetization (μB per formula unit) = 10.09
# - formation energy without anion corrections (eV/f.u.) = -1.47

# BaSr, relaxed, DFT PBE
data_BaSr
_cell_length_a 7.827
_cell_length_b 7.827
_cell_length_c 7.827
_cell_angle_alpha 90.00
_cell_angle_beta 90.00
_cell_angle_gamma 90.00
_symmetry_space_group_name_H-M 'F m -3 m'
_symmetry_Int_Tables_number 225
_symmetry_space_group_name_Hall '-F 4 2 3'
loop_
_atom_site_label
_atom_site_type_symbol
_atom_site_fract_x
_atom_site_fract_y
_atom_site_fract_z
Ba1 Ba 0.000 0.000 0.000
Sr1 Sr 0.000 0.000 0.500
# - spin magnetization (μB per formula unit) = 0.00
# - energy relative to the elements (meV/atom) = 345

no.,offset from the most stable computed form (meV per atom),E (eV/atom)
1,0,-3.817
2,129,-9.534
3,346,-1.457